Crystalline Ba2AlSi at its relaxed geometry, computed with PBE-GGA.

Cell lengths 5.608, 5.608, 4.293 Å; angles 90.00, 90.00, 90.16 degrees
Atoms (fractional coordinates):
Ba 0.000 0.500 0.000
Ba 0.500 0.000 0.000
Al 0.000 0.000 0.500
Si 0.500 0.500 0.500

The density of states at the Fermi level comes out at 2.8 states/eV/f.u.

***

Crystalline BaAlSi at its relaxed geometry, computed with PBE-GGA.

Cell lengths 4.319, 4.319, 5.193 Å; angles 90.00, 90.00, 120.00 degrees
Atoms (fractional coordinates):
Ba 0.000 0.000 0.000
Al 0.667 0.333 0.500
Si 0.333 0.667 0.500

The density of states at the Fermi level comes out at 1.4 states/eV/f.u.

***

Crystalline BaAlSi2 at its relaxed geometry, computed with PBE-GGA.

Cell lengths 5.436, 5.436, 5.436 Å; angles 132.17, 104.25, 94.73 degrees
Atoms (fractional coordinates):
Ba 0.000 0.000 0.000
Al 0.500 0.500 0.000
Si 0.334 0.834 0.500
Si 0.666 0.166 0.500

The density of states at the Fermi level comes out at 1.6 states/eV/f.u.

***

Crystalline Ba2AlSi at its relaxed geometry, computed with PBE-GGA.

Cell lengths 4.327, 6.902, 6.902 Å; angles 42.74, 90.00, 90.00 degrees
Atoms (fractional coordinates):
Ba 0.000 0.000 0.000
Ba 0.500 0.284 0.284
Al 0.500 0.593 0.593
Si 0.000 0.702 0.702

The density of states at the Fermi level comes out at 3.0 states/eV/f.u.

***

Crystalline BaAlSi2 at its relaxed geometry, computed with PBE-GGA.

Cell lengths 5.545, 5.545, 3.300 Å; angles 90.00, 90.00, 109.62 degrees
Atoms (fractional coordinates):
Ba 0.000 0.000 0.000
Al 0.500 0.500 0.000
Si 0.000 0.500 0.500
Si 0.500 0.000 0.500

The density of states at the Fermi level comes out at 2.0 states/eV/f.u.

***

Crystalline Ba2AlSi at its relaxed geometry, computed with PBE-GGA.

Cell lengths 10.272, 10.272, 10.272 Å; angles 23.84, 23.84, 23.84 degrees
Atoms (fractional coordinates):
Ba 0.242 0.242 0.242
Ba 0.758 0.758 0.758
Al 0.000 0.000 0.000
Si 0.500 0.500 0.500

The density of states at the Fermi level comes out at 3.0 states/eV/f.u.

***

Crystalline BaAlSi2 at its relaxed geometry, computed with PBE-GGA.

Cell lengths 3.608, 3.608, 6.963 Å; angles 90.00, 90.00, 92.03 degrees
Atoms (fractional coordinates):
Ba 0.000 0.000 0.000
Al 0.000 0.000 0.500
Si 0.500 0.500 0.332
Si 0.500 0.500 0.668

The density of states at the Fermi level comes out at 1.4 states/eV/f.u.

***

Crystalline BaAlSi2 at its relaxed geometry, computed with PBE-GGA.

Cell lengths 5.623, 5.623, 5.623 Å; angles 132.31, 132.31, 69.73 degrees
Atoms (fractional coordinates):
Ba 0.000 0.000 0.000
Al 0.750 0.250 0.500
Si 0.250 0.750 0.500
Si 0.500 0.500 0.000

The density of states at the Fermi level comes out at 3.4 states/eV/f.u.

***

Crystalline Ba2AlSi at its relaxed geometry, computed with PBE-GGA.

Cell lengths 3.800, 4.510, 7.815 Å; angles 90.00, 90.00, 90.00 degrees
Atoms (fractional coordinates):
Ba 0.000 0.000 0.230
Ba 0.000 0.000 0.770
Al 0.500 0.500 0.500
Si 0.500 0.500 0.000

The density of states at the Fermi level comes out at 2.6 states/eV/f.u.

***

Crystalline Ba2AlSi2 at its relaxed geometry, computed with PBE-GGA.

Cell lengths 4.975, 7.072, 7.072 Å; angles 35.18, 90.00, 90.00 degrees
Atoms (fractional coordinates):
Ba 0.000 0.000 0.000
Ba 0.000 0.240 0.240
Al 0.500 0.820 0.820
Si 0.500 0.427 0.427
Si 0.500 0.618 0.618

The density of states at the Fermi level comes out at 2.9 states/eV/f.u.

***

Crystalline BaAl4Si at its relaxed geometry, computed with PBE-GGA.

Cell lengths 5.736, 5.736, 5.736 Å; angles 60.00, 60.00, 60.00 degrees
Atoms (fractional coordinates):
Ba 0.000 0.000 0.000
Al 0.377 0.377 0.377
Al 0.377 0.377 0.870
Al 0.377 0.870 0.377
Al 0.870 0.377 0.377
Si 0.750 0.750 0.750

The density of states at the Fermi level comes out at 3.4 states/eV/f.u.

***

Crystalline Ba3Al3Si2 at its relaxed geometry, computed with PBE-GGA.

Cell lengths 6.867, 6.867, 16.999 Å; angles 90.00, 90.00, 143.29 degrees
Atoms (fractional coordinates):
Ba 0.017 0.983 0.750
Ba 0.334 0.666 0.594
Ba 0.334 0.666 0.906
Ba 0.666 0.334 0.094
Ba 0.666 0.334 0.406
Ba 0.983 0.017 0.250
Al 0.067 0.933 0.555
Al 0.067 0.933 0.945
Al 0.266 0.734 0.250
Al 0.734 0.266 0.750
Al 0.933 0.067 0.055
Al 0.933 0.067 0.445
Si 0.373 0.627 0.119
Si 0.373 0.627 0.381
Si 0.627 0.373 0.619
Si 0.627 0.373 0.881

The density of states at the Fermi level comes out at 2.8 states/eV/f.u.

***

Crystalline BaAlSi2 at its relaxed geometry, computed with PBE-GGA.

Cell lengths 5.044, 5.044, 4.332 Å; angles 90.94, 90.94, 100.24 degrees
Atoms (fractional coordinates):
Ba 0.000 0.000 0.000
Al 0.341 0.659 0.500
Si 0.525 0.475 0.000
Si 0.675 0.325 0.500

The density of states at the Fermi level comes out at 2.2 states/eV/f.u.

***

Crystalline BaAlSi at its relaxed geometry, computed with PBE-GGA.

Cell lengths 5.243, 5.243, 5.243 Å; angles 60.00, 60.00, 60.00 degrees
Atoms (fractional coordinates):
Ba 0.000 0.000 0.000
Al 0.750 0.750 0.750
Si 0.250 0.250 0.250

The density of states at the Fermi level comes out at 2.6 states/eV/f.u.

***

Crystalline BaAlSi2 at its relaxed geometry, computed with PBE-GGA.

Cell lengths 5.132, 5.132, 5.132 Å; angles 60.00, 60.00, 60.00 degrees
Atoms (fractional coordinates):
Ba 0.000 0.000 0.000
Al 0.750 0.750 0.750
Si 0.250 0.250 0.250
Si 0.500 0.500 0.500

The density of states at the Fermi level comes out at 2.4 states/eV/f.u.

***

Crystalline BaAlSi2 at its relaxed geometry, computed with PBE-GGA.

Cell lengths 4.101, 3.812, 6.354 Å; angles 90.00, 90.05, 90.00 degrees
Atoms (fractional coordinates):
Ba 0.000 0.000 0.000
Al 0.999 0.500 0.462
Si 0.499 0.000 0.463
Si 0.500 0.500 0.717

The density of states at the Fermi level comes out at 0.9 states/eV/f.u.

***

Crystalline BaAlSi2 at its relaxed geometry, computed with PBE-GGA.

Cell lengths 3.546, 3.546, 7.247 Å; angles 90.00, 90.00, 90.00 degrees
Atoms (fractional coordinates):
Ba 0.000 0.000 0.000
Al 0.500 0.500 0.660
Si 0.000 0.000 0.467
Si 0.500 0.500 0.325

The density of states at the Fermi level comes out at 1.1 states/eV/f.u.

***

Crystalline BaAlSi2 at its relaxed geometry, computed with PBE-GGA.

Cell lengths 15.338, 4.213, 11.918 Å; angles 90.00, 90.00, 90.00 degrees
Atoms (fractional coordinates):
Ba 0.075 0.250 0.246
Ba 0.207 0.750 0.530
Ba 0.293 0.250 0.030
Ba 0.425 0.750 0.746
Ba 0.575 0.250 0.254
Ba 0.707 0.750 0.970
Ba 0.793 0.250 0.470
Ba 0.925 0.750 0.754
Al 0.049 0.250 0.933
Al 0.167 0.750 0.819
Al 0.333 0.250 0.319
Al 0.451 0.750 0.433
Al 0.549 0.250 0.567
Al 0.667 0.750 0.681
Al 0.833 0.250 0.181
Al 0.951 0.750 0.067
Si 0.034 0.250 0.529
Si 0.092 0.250 0.719
Si 0.114 0.750 0.018
Si 0.248 0.250 0.752
Si 0.252 0.750 0.252
Si 0.386 0.250 0.518
Si 0.408 0.750 0.219
Si 0.466 0.750 0.029
Si 0.534 0.250 0.971
Si 0.592 0.250 0.781
Si 0.614 0.750 0.482
Si 0.748 0.250 0.748
Si 0.752 0.750 0.248
Si 0.886 0.250 0.982
Si 0.908 0.750 0.281
Si 0.966 0.750 0.471

The density of states at the Fermi level comes out at 1.0 states/eV/f.u.

***

Crystalline Ba2AlSi at its relaxed geometry, computed with PBE-GGA.

Cell lengths 6.561, 6.561, 6.561 Å; angles 143.14, 130.71, 63.10 degrees
Atoms (fractional coordinates):
Ba 0.000 0.000 0.000
Ba 0.696 0.196 0.500
Al 0.403 0.403 0.000
Si 0.275 0.775 0.500

The density of states at the Fermi level comes out at 2.7 states/eV/f.u.

***

Crystalline Ba2AlSi at its relaxed geometry, computed with PBE-GGA.

Cell lengths 6.901, 4.312, 9.927 Å; angles 90.00, 108.67, 90.00 degrees
Atoms (fractional coordinates):
Ba 0.210 0.250 0.429
Ba 0.284 0.750 0.072
Ba 0.716 0.250 0.928
Ba 0.790 0.750 0.571
Al 0.326 0.750 0.727
Al 0.674 0.250 0.273
Si 0.161 0.250 0.782
Si 0.839 0.750 0.218

The density of states at the Fermi level comes out at 3.3 states/eV/f.u.

***

Crystalline BaAlSi2 at its relaxed geometry, computed with PBE-GGA.

Cell lengths 9.404, 9.404, 9.404 Å; angles 20.75, 20.75, 20.75 degrees
Atoms (fractional coordinates):
Ba 0.000 0.000 0.000
Al 0.500 0.500 0.500
Si 0.232 0.232 0.232
Si 0.768 0.768 0.768

The density of states at the Fermi level comes out at 1.6 states/eV/f.u.

***

Crystalline Ba2AlSi at its relaxed geometry, computed with PBE-GGA.

Cell lengths 7.376, 7.376, 7.376 Å; angles 102.17, 102.17, 125.34 degrees
Atoms (fractional coordinates):
Ba 0.092 0.125 0.467
Ba 0.375 0.908 0.033
Ba 0.658 0.625 0.533
Ba 0.875 0.342 0.967
Al 0.250 0.750 0.500
Al 0.500 0.500 0.000
Si 0.000 0.000 0.000
Si 0.750 0.250 0.500

The density of states at the Fermi level comes out at 4.7 states/eV/f.u.

***

Crystalline BaAlSi2 at its relaxed geometry, computed with PBE-GGA.

Cell lengths 4.505, 4.505, 6.372 Å; angles 107.59, 107.59, 53.65 degrees
Atoms (fractional coordinates):
Ba 0.000 0.000 0.000
Al 0.213 0.213 0.614
Si 0.499 0.499 0.497
Si 0.787 0.787 0.379

The density of states at the Fermi level comes out at 1.7 states/eV/f.u.

***

Crystalline Ba2AlSi at its relaxed geometry, computed with PBE-GGA.

Cell lengths 3.747, 3.747, 9.836 Å; angles 90.00, 90.00, 90.00 degrees
Atoms (fractional coordinates):
Ba 0.000 0.000 0.000
Ba 0.500 0.500 0.419
Al 0.500 0.500 0.754
Si 0.000 0.000 0.654

The density of states at the Fermi level comes out at 5.0 states/eV/f.u.

***

Crystalline Ba3Al2Si3 at its relaxed geometry, computed with PBE-GGA.

Cell lengths 6.894, 6.894, 15.229 Å; angles 90.00, 90.00, 140.91 degrees
Atoms (fractional coordinates):
Ba 0.074 0.926 0.604
Ba 0.074 0.926 0.896
Ba 0.359 0.641 0.750
Ba 0.641 0.359 0.250
Ba 0.926 0.074 0.104
Ba 0.926 0.074 0.396
Al 0.232 0.768 0.098
Al 0.232 0.768 0.402
Al 0.768 0.232 0.598
Al 0.768 0.232 0.902
Si 0.329 0.671 0.250
Si 0.339 0.661 0.543
Si 0.339 0.661 0.957
Si 0.661 0.339 0.043
Si 0.661 0.339 0.457
Si 0.671 0.329 0.750

The value obtained for the energy above the most stable polymorph in this dataset is 0.0 meV per atom. The density of states at the Fermi level comes out at 2.4 states/eV/f.u.

***

Crystalline BaAl2SiTc at its relaxed geometry, computed with PBE-GGA.

Cell lengths 4.885, 4.885, 4.726 Å; angles 90.00, 90.00, 90.00 degrees
Atoms (fractional coordinates):
Ba 0.000 0.000 0.000
Al 0.000 0.500 0.500
Al 0.500 0.000 0.500
Si 0.500 0.500 0.000
Tc 0.500 0.500 0.500

The density of states at the Fermi level comes out at 1.1 states/eV/f.u.

***

Crystalline Ba2Al4ZnSi3 at its relaxed geometry, computed with PBE-GGA.

Cell lengths 4.611, 4.611, 10.387 Å; angles 90.00, 90.00, 90.00 degrees
Atoms (fractional coordinates):
Ba 0.000 0.500 0.244
Ba 0.500 0.000 0.756
Al 0.000 0.000 0.500
Al 0.000 0.500 0.877
Al 0.500 0.000 0.123
Al 0.500 0.500 0.500
Zn 0.500 0.500 0.000
Si 0.000 0.000 0.000
Si 0.000 0.500 0.621
Si 0.500 0.000 0.379

The density of states at the Fermi level comes out at 3.4 states/eV/f.u.

***

| no. | VASP energy (eV/cell) | E_form (uncorrected) (eV/atom) | density (g/cm³) |
| --- | --- | --- | --- |
| 1 | -13.07 | -0.0160 | 4.1 |
| 2 | -12.25 | -0.3865 | 3.8 |
| 3 | -16.57 | -0.0146 | 3.4 |
| 4 | -14.20 | -0.2975 | 3.9 |
| 5 | -14.79 | 0.4300 | 3.8 |
| 6 | -12.16 | 0.2128 | 3.5 |
| 7 | -16.84 | -0.0827 | 4.0 |
| 8 | -14.99 | 0.3807 | 3.8 |
| 9 | -13.13 | -0.0300 | 4.1 |
| 10 | -19.31 | -0.1757 | 4.1 |
| 11 | -21.02 | 0.2163 | 3.4 |
| 12 | -60.66 | -0.3111 | 3.8 |
| 13 | -16.38 | 0.0338 | 3.4 |
| 14 | -9.11 | 0.6583 | 3.1 |
| 15 | -14.79 | 0.4292 | 3.8 |
| 16 | -17.09 | -0.1454 | 3.7 |
| 17 | -16.45 | 0.0142 | 4.0 |
| 18 | -141.05 | -0.2800 | 3.8 |
| 19 | -14.05 | -0.2606 | 4.3 |
| 20 | -28.36 | -0.2920 | 3.9 |
| 21 | -15.21 | 0.3259 | 4.0 |
| 22 | -23.59 | 0.3042 | 3.8 |
| 23 | -16.95 | -0.1104 | 3.7 |
| 24 | -12.90 | 0.0272 | 4.0 |
| 25 | -64.57 | -0.3456 | 4.0 |
| 26 | -26.83 | -0.3274 | 4.7 |
| 27 | -38.75 | -0.2389 | 4.0 |